1.
Here is an optimized crystal structure of MgPtSe2 from Alexandria via LeMat-Bulk. Energies are from PBE.

The calculation puts the density of states at the Fermi level at 0.51 states/eV/atom. The raw formation energy comes out at -0.25 eV/atom.

It has space group Cmmm (No. 65), with a = 3.700 Å, b = 7.380 Å, c = 7.052 Å, α = 90.00°, β = 90.00° and γ = 90.00°. The distinct sites, in fractional coordinates, are Mg at (0.000, 0.000, 0.000), Pt at (0.000, 0.000, 0.500) and Se at (0.000, 0.500, 0.266).

---

2.
Here is an optimized crystal structure of MgPtSe from Alexandria via LeMat-Bulk. Energies are from PBE.

The calculation puts the density of states at the Fermi level at 0.27 states/eV/atom. The raw formation energy comes out at -0.36 eV/atom.

It has space group Cm (No. 8), with a = 8.042 Å, b = 2.989 Å, c = 5.245 Å, α = 90.00°, β = 101.65° and γ = 90.00°. The distinct sites, in fractional coordinates, are Mg at (0.000, 0.000, 0.000), Pt at (0.239, 0.000, 0.720) and Se at (0.012, 0.500, 0.453).